1.
# SrTeO3

A crystal of SrTeO3 relaxed with PBEsol (SCAN, Alexandria via LeMat-Bulk).

Lattice parameters (Å, degrees): 6.7317 7.1914 8.5094 90.00 125.40 90.00
Positions (direct):
Sr1 0.1378 0.1267 0.3687
Sr2 0.1378 0.3733 0.8687
Sr3 0.8622 0.6267 0.1313
Sr4 0.8622 0.8733 0.6313
Te1 0.3767 0.6717 0.5981
Te2 0.3767 0.8283 0.0981
Te3 0.6233 0.1717 0.9019
Te4 0.6233 0.3283 0.4019
O1 0.0837 0.6886 0.9755
O2 0.0837 0.8114 0.4755
O3 0.2298 0.0307 0.9277
O4 0.2298 0.4693 0.4277
O5 0.4044 0.5846 0.8196
O6 0.4044 0.9154 0.3196
O7 0.5956 0.0846 0.6804
O8 0.5956 0.4154 0.1804
O9 0.7702 0.5307 0.5723
O10 0.7702 0.9693 0.0723
O11 0.9163 0.1886 0.5245
O12 0.9163 0.3114 0.0245

Values from the calculation:
Total energy in eV/atom: -17.78
Total moment in μB per cell: 0.000
Formation energy (no corrections) in eV per formula unit: -10.7
Space group: P2_1/c

=====

2.
# Sr3UTe4O14

A crystal of Sr3UTe4O14 relaxed with PBEsol (SCAN, Alexandria via LeMat-Bulk).

Lattice parameters (Å, degrees): 10.6007 10.6007 12.8551 94.50 94.50 30.84
Positions (direct):
Sr1 0.2090 0.6714 0.4414
Sr2 0.2184 0.7816 0.7500
Sr3 0.3286 0.7910 0.0586
Sr4 0.6714 0.2090 0.9414
Sr5 0.7816 0.2184 0.2500
Sr6 0.7910 0.3286 0.5586
U1 0.0000 0.5000 0.5000
U2 0.5000 0.0000 0.0000
Te1 0.0293 0.6204 0.8326
Te2 0.1210 0.6691 0.1232
Te3 0.3309 0.8790 0.3768
Te4 0.3796 0.9707 0.6674
Te5 0.6204 0.0293 0.3326
Te6 0.6691 0.1210 0.6232
Te7 0.8790 0.3309 0.8768
Te8 0.9707 0.3796 0.1674
O1 0.0256 0.7800 0.2645
O2 0.0316 0.0496 0.9137
O3 0.0496 0.0316 0.4137
O4 0.1431 0.1961 0.5554
O5 0.1624 0.4513 0.6116
O6 0.1961 0.1431 0.0554
O7 0.2200 0.9744 0.2355
O8 0.2334 0.3290 0.9044
O9 0.2401 0.5756 0.8639
O10 0.3290 0.2334 0.4044
O11 0.4244 0.7599 0.6361
O12 0.4362 0.4736 0.1175
O13 0.4513 0.1624 0.1116
O14 0.4736 0.4362 0.6175
O15 0.5264 0.5638 0.3825
O16 0.5487 0.8376 0.8884
O17 0.5638 0.5264 0.8825
O18 0.5756 0.2401 0.3639
O19 0.6710 0.7666 0.5956
O20 0.7599 0.4244 0.1361
O21 0.7666 0.6710 0.0956
O22 0.7800 0.0256 0.7645
O23 0.8039 0.8569 0.9446
O24 0.8376 0.5487 0.3884
O25 0.8569 0.8039 0.4446
O26 0.9504 0.9684 0.5863
O27 0.9684 0.9504 0.0863
O28 0.9744 0.2200 0.7355

Values from the calculation:
Total energy in eV/atom: -20.71
Total moment in μB per cell: 0.000
Formation energy (no corrections) in eV per formula unit: -49.1
Space group: C2/c

=====

3.
# SrTiO3

A crystal of SrTiO3 relaxed with PBEsol (SCAN, Alexandria via LeMat-Bulk).

Lattice parameters (Å, degrees): 6.0885 6.0885 6.0885 52.28 52.28 52.28
Positions (direct):
Sr1 0.1305 0.1305 0.1305
Sr2 0.8695 0.8695 0.8695
Ti1 0.3465 0.3465 0.3465
Ti2 0.6535 0.6535 0.6535
O1 0.0648 0.6590 0.4954
O2 0.3410 0.5046 0.9352
O3 0.4954 0.0648 0.6590
O4 0.5046 0.9352 0.3410
O5 0.6590 0.4954 0.0648
O6 0.9352 0.3410 0.5046

Values from the calculation:
Total energy in eV/atom: -14.74
Total moment in μB per cell: 0.000
Formation energy (no corrections) in eV per formula unit: -16.7
Space group: R-3

=====

4.
# Sr3Ti2O7

A crystal of Sr3Ti2O7 relaxed with PBEsol (SCAN, Alexandria via LeMat-Bulk).

Lattice parameters (Å, degrees): 10.4948 10.4948 10.4948 158.62 158.62 30.41
Positions (direct):
Sr1 0.0000 0.0000 0.0000
Sr2 0.1842 0.1842 0.0000
Sr3 0.8158 0.8158 0.0000
Ti1 0.4022 0.4022 0.0000
Ti2 0.5978 0.5978 0.0000
O1 0.0962 0.5962 0.5000
O2 0.3059 0.3059 0.0000
O3 0.4038 0.9038 0.5000
O4 0.5000 0.5000 0.0000
O5 0.5962 0.0962 0.5000
O6 0.6941 0.6941 0.0000
O7 0.9038 0.4038 0.5000

Values from the calculation:
Total energy in eV/atom: -15.29
Total moment in μB per cell: 0.000
Formation energy (no corrections) in eV per formula unit: -40.9
Space group: I4/mmm